1.
{
  "formula": "La3Sc2Ge4",
  "functional": "PBE",
  "state": "relaxed",
  "lattice_angstrom": [[6.2757, -2.1408, 0.0000], [6.2757, 2.1408, 0.0000], [-3.3935, 0.0000, 8.5512]],
  "species": ["La", "La", "La", "Sc", "Sc", "Ge", "Ge", "Ge", "Ge"],
  "fractional_positions": [[0.0000, 0.0000, 0.0000], [0.3872, 0.3872, 0.3002], [0.6128, 0.6128, 0.6998], [0.3129, 0.3129, 0.6487], [0.6871, 0.6871, 0.3513], [0.0846, 0.0846, 0.4194], [0.2824, 0.2824, 0.9343], [0.7176, 0.7176, 0.0657], [0.9154, 0.9154, 0.5806]],
  "e_form_mev_per_atom": -769
}

2.
{
  "formula": "PrEuCdHg",
  "functional": "PBE",
  "state": "relaxed",
  "lattice_angstrom": [[0.0000, 3.8890, 3.8890], [3.8890, 0.0000, 3.8890], [3.8890, 3.8890, 0.0000]],
  "species": ["Pr", "Eu", "Cd", "Hg"],
  "fractional_positions": [[0.0000, 0.0000, 0.0000], [0.5000, 0.5000, 0.5000], [0.7500, 0.7500, 0.7500], [0.2500, 0.2500, 0.2500]],
  "e_form_mev_per_atom": -418
}

3.
{
  "formula": "Th4GeIrSe2",
  "functional": "PBE",
  "state": "relaxed",
  "lattice_angstrom": [[7.4138, 0.0000, 0.0000], [0.0000, 4.1550, 0.0000], [-2.4234, 0.0000, 7.0972]],
  "species": ["Th", "Th", "Th", "Th", "Ge", "Ir", "Se", "Se"],
  "fractional_positions": [[0.2232, 0.0000, 0.2299], [0.2378, 0.5000, 0.7512], [0.7622, 0.5000, 0.2488], [0.7768, 0.0000, 0.7701], [0.0000, 0.0000, 0.5000], [0.0000, 0.5000, 0.0000], [0.5000, 0.0000, 0.0000], [0.5000, 0.5000, 0.5000]],
  "raw_formation_energy_ev_per_atom": -1.237
}

4.
{
  "formula": "RbAg2GeTe4",
  "functional": "PBE",
  "state": "relaxed",
  "lattice_angstrom": [[-3.7982, 3.7982, 4.7142], [3.7982, -3.7982, 4.7142], [3.7982, 3.7982, -4.7142]],
  "species": ["Rb", "Ag", "Ag", "Ge", "Te", "Te", "Te", "Te"],
  "fractional_positions": [[0.0000, 0.0000, 0.0000], [0.2500, 0.7500, 0.5000], [0.7500, 0.2500, 0.5000], [0.5000, 0.5000, 0.0000], [0.1408, 0.1408, 0.6013], [0.4605, 0.8592, 0.0000], [0.5395, 0.5395, 0.3987], [0.8592, 0.4605, 0.0000]],
  "raw_formation_energy_ev_per_atom": -0.244
}